Computed, not measured: a relaxed Y2Cu2S crystal at the GGA-PBE level of DFT.

Summary:
For the uncorrected formation energy, the calculation gives -579 meV/atom. The energy above the most stable polymorph in this dataset is 3.8 kJ per mole of atoms.

Lattice parameters (Å, degrees): 7.4525 7.4525 4.0080 90.00 90.00 90.00
With the nearest neighbours (Å) after each atom.
Positions (direct):
Y (0.3181, 0.8181, 0.0000)  2 S 2.73, 6 Cu 2.96-3.01
Y (0.8181, 0.6819, 0.0000)  2 S 2.73, 6 Cu 2.96-3.01
Y (0.6819, 0.1819, 0.0000)  2 S 2.73, 6 Cu 2.96-3.01
Y (0.1819, 0.3181, 0.0000)  2 S 2.73, 6 Cu 2.96-3.01
S (0.0000, 0.0000, 0.0000)  4 Y 2.73
S (0.5000, 0.5000, 0.0000)  4 Y 2.73
Cu (0.1120, 0.6120, 0.5000)  1 Cu 2.36
Cu (0.6120, 0.8880, 0.5000)  1 Cu 2.36
Cu (0.8880, 0.3880, 0.5000)  1 Cu 2.36
Cu (0.3880, 0.1120, 0.5000)  1 Cu 2.36

=====

Computed, not measured: a relaxed YbCu5S4 crystal at the GGA-PBE level of DFT.

Summary:
For the uncorrected formation energy, the calculation gives -509 meV/atom.

Lattice parameters (Å, degrees): 7.3187 7.3187 6.7321 65.47 65.47 29.95
With the nearest neighbours (Å) after each atom.
Positions (direct):
Yb (0.5000, 0.5000, 0.5000)  6 S 2.71-2.82
Cu (0.0000, 0.0000, 0.0000)  4 S 2.58
Cu (0.1933, 0.1933, 0.1367)  4 S 2.36-2.44
Cu (0.6801, 0.6801, 0.6582)  4 S 2.32-2.39
Cu (0.8067, 0.8067, 0.8633)  4 S 2.36-2.44
Cu (0.3199, 0.3199, 0.3418)  4 S 2.32-2.39
S (0.8673, 0.8673, 0.4779)  4 Cu 2.32-2.39
S (0.3846, 0.3846, 0.9616)  6 Cu 2.32-2.58
S (0.1327, 0.1327, 0.5221)  4 Cu 2.32-2.39
S (0.6154, 0.6154, 0.0384)  6 Cu 2.32-2.58

=====

Computed, not measured: a relaxed YbZrCuS3 crystal at the GGA-PBE level of DFT.

Summary:
For the uncorrected formation energy, the calculation gives -1429 meV/atom.

Lattice parameters (Å, degrees): 3.6693 6.5844 9.7377 90.00 90.00 106.15
With the nearest neighbours (Å) after each atom.
Positions (direct):
S (0.3598, 0.7192, 0.9319)  1 Cu 2.29
S (0.9102, 0.8221, 0.2500)  2 Cu 2.33-2.34
S (0.6402, 0.2808, 0.4319)  1 Cu 2.29
S (0.6402, 0.2808, 0.0681)  1 Cu 2.29
S (0.3598, 0.7192, 0.5681)  1 Cu 2.29
S (0.0898, 0.1779, 0.7500)  2 Cu 2.33-2.34
Yb (0.2374, 0.4758, 0.2500)  6 S 2.83-2.86
Yb (0.7626, 0.5242, 0.7500)  6 S 2.83-2.86
Cu (0.4764, 0.9490, 0.7500)  4 S 2.29-2.34
Cu (0.5236, 0.0510, 0.2500)  4 S 2.29-2.34
Zr (0.0000, 0.0000, 0.5000)  6 S 2.64-2.68
Zr (0.0000, 0.0000, 0.0000)  6 S 2.64-2.68

=====

Computed, not measured: a relaxed ZnCuS crystal at the GGA-PBE level of DFT.

Summary:
For the uncorrected formation energy, the calculation gives -175 meV/atom.

Lattice parameters (Å, degrees): 5.7968 5.7968 14.9981 27.91 27.91 39.99
With the nearest neighbours (Å) after each atom.
Positions (direct):
Cu (0.6891, 0.6891, 0.5504)  3 S 2.40-2.64, 2 Zn 2.47, 2 Cu 2.57
Cu (0.9393, 0.9393, 0.8104)  3 S 2.23-2.43
Zn (0.6804, 0.6804, 0.3918)  2 S 2.34, 1 Cu 2.47, 1 Zn 2.53
Zn (0.0977, 0.0977, 0.8779)  1 S 2.36, 1 Cu 2.47, 1 Zn 2.53
S (0.5403, 0.5403, 0.3350)  2 Zn 2.34-2.36, 3 Cu 2.40-2.43
S (0.3129, 0.3129, 0.9565)  2 Cu 2.23, 1 Zn 2.34

=====

| no. | E (hartree per atom) | magnetic moment (Bohr magnetons per cell) |
| --- | --- | --- |
| 1 | -0.2068 | 0.0 |
| 2 | -0.1602 | 0.3 |
| 3 | -0.2151 | 0.1 |
| 4 | -0.1228 | 0.0 |